! NaTlS2 (PBE, relaxed); values from VASP
&SYSTEM
  ibrav = 0, nat = 8, ntyp = 3
/
ATOMIC_SPECIES
Tl 204.38 Tl.upf
S 32.06 S.upf
Na 22.99 Na.upf
CELL_PARAMETERS angstrom
4.5127 0.4014 8.9376
-7.4004 -1.4293 -6.6029
1.4577 -5.2330 -0.5010
ATOMIC_POSITIONS angstrom
Tl -3.1816 -2.1453 -1.7002
S -5.3197 -5.2024 -5.6907
S 3.8898 -1.0586 7.5244
S -4.6518 -2.3712 -3.6181
Tl 1.7517 -4.1157 3.5339
Na -6.3046 -2.6252 -5.7741
S 3.2219 -3.8898 5.4518
Na 4.8747 -3.6358 7.6078
! **Crystal system**: orthorhombic
! **Raw total energy**: -26.24 eV per cell
! **Formation energy without anion corrections**: -0.30 eV/atom
! **M_tot**: 0.000 μB/cell